Record 1
{
  "formula": "Ba2AgSn2",
  "functional": "PBE",
  "state": "optimized geometry",
  "vol_a3_per_atom": 34.6,
  "polymorph_energy_ev_per_fu": 0.64,
  "total_magnetization_mub_per_fu": 0.00,
  "rho_g_cm3": 5.95,
  "sg": "P4/mbm (127)",
  "formation_energy_ev_per_atom": -0.429,
  "total_energy_ev_per_cell": -33.700,
  "lattice_angstrom": [[7.967, 0.000, 0.000], [0.000, 7.967, 0.000], [0.000, 0.000, 5.454]],
  "species": ["Ag", "Sn", "Ag", "Ba", "Sn", "Sn", "Ba", "Ba", "Sn", "Ba"],
  "frac_coords": [[0.000, 0.000, 0.000], [0.860, 0.640, 0.000], [0.500, 0.500, 0.000], [0.663, 0.837, 0.500], [0.640, 0.140, 0.000], [0.140, 0.360, 0.000], [0.837, 0.337, 0.500], [0.337, 0.163, 0.500], [0.360, 0.860, 0.000], [0.163, 0.663, 0.500]]
}


Record 2
{
  "formula": "NbRh2Cl",
  "functional": "PBE",
  "state": "optimized geometry",
  "vol_a3_per_atom": 21.5,
  "polymorph_energy_ev_per_fu": 0.03,
  "total_magnetization_mub_per_fu": 0.00,
  "rho_g_cm3": 6.45,
  "sg": "I-42d (122)",
  "e_form_raw_mev_per_atom": 351,
  "total_energy_ev_per_cell": -50.430,
  "lattice_angstrom": [[-2.173, -5.561, 0.890], [3.526, -2.088, -4.433], [4.110, -4.666, 1.357]],
  "species": ["Cl", "Rh", "Rh", "Cl", "Rh", "Nb", "Nb", "Rh"],
  "frac_coords": [[0.250, 0.750, 0.500], [0.375, 0.374, 0.750], [0.626, 0.125, 0.250], [0.500, 0.500, 0.000], [0.124, 0.625, 0.250], [0.000, 0.000, 0.000], [0.750, 0.250, 0.500], [0.875, 0.876, 0.750]]
}


Record 3
{
  "formula": "TaTlOs",
  "functional": "PBE",
  "state": "optimized geometry",
  "vol_a3_per_atom": 19.2,
  "polymorph_energy_ev_per_fu": 0.66,
  "total_magnetization_mub_per_fu": 0.00,
  "rho_g_cm3": 16.59,
  "sg": "Fmm2 (42)",
  "formation_energy_ev_per_atom": 0.542,
  "total_energy_ev_per_cell": -23.822,
  "lattice_angstrom": [[7.642, -0.024, 0.015], [6.785, 2.858, 0.009], [0.857, -1.197, 2.621]],
  "species": ["Tl", "Ta", "Os"],
  "frac_coords": [[0.664, 0.664, 0.336], [0.348, 0.348, 0.652], [0.988, 0.988, 0.012]]
}


Record 4
{
  "formula": "MgMnTcHg2",
  "functional": "PBE",
  "state": "optimized geometry",
  "vol_a3_per_atom": 24.8,
  "total_magnetization_mub_per_fu": 7.71,
  "rho_g_cm3": 7.75,
  "sg": "P4/mmm (123)",
  "formation_energy_ev_per_atom": 1.442,
  "total_energy_ev_per_cell": -14.522,
  "lattice_angstrom": [[5.017, 0.000, 0.000], [0.000, 5.017, 0.000], [0.000, 0.000, 4.925]],
  "species": ["Mg", "Hg", "Tc", "Mn", "Hg"],
  "frac_coords": [[0.000, 0.000, 0.000], [0.500, 0.000, 0.000], [0.500, 0.500, 0.500], [0.000, 0.000, 0.500], [0.000, 0.500, 0.000]]
}


Record 5
{
  "formula": "LaYbS3",
  "functional": "PBE",
  "state": "optimized geometry",
  "vol_a3_per_atom": 24.4,
  "polymorph_energy_ev_per_fu": 0.00,
  "total_magnetization_mub_per_fu": 0.55,
  "rho_g_cm3": 5.55,
  "sg": "Cmcm (63)",
  "e_form_raw_mev_per_atom": -1897,
  "total_energy_ev_per_cell": -56.642,
  "lattice_angstrom": [[1.990, -6.466, 0.000], [1.990, 6.466, 0.000], [0.000, 0.000, 9.486]],
  "species": ["S", "Yb", "La", "S", "S", "S", "S", "S", "Yb", "La"],
  "frac_coords": [[0.091, 0.909, 0.750], [0.000, 0.000, 0.000], [0.253, 0.747, 0.250], [0.357, 0.643, 0.935], [0.643, 0.357, 0.065], [0.357, 0.643, 0.565], [0.643, 0.357, 0.435], [0.909, 0.091, 0.250], [0.000, 0.000, 0.500], [0.747, 0.253, 0.750]]
}


Record 6
{
  "formula": "Sc5Tl2As2",
  "functional": "PBE",
  "state": "optimized geometry",
  "vol_a3_per_atom": 22.2,
  "total_magnetization_mub_per_fu": 0.00,
  "rho_g_cm3": 6.52,
  "sg": "Cmce (64)",
  "formation_energy_ev_per_atom": -0.729,
  "total_energy_ev_per_cell": -104.501,
  "lattice_angstrom": [[7.374, 0.000, 0.000], [0.000, 6.642, -3.415], [0.000, -0.011, 8.147]],
  "species": ["Sc", "Tl", "As", "As", "Sc", "As", "Sc", "Sc", "Sc", "As", "Sc", "Tl", "Tl", "Sc", "Sc", "Tl", "Sc", "Sc"],
  "frac_coords": [[0.340, 0.713, 0.753], [0.500, 0.712, 0.424], [0.147, 0.646, 0.000], [0.353, 0.146, 0.000], [0.000, 0.000, 0.000], [0.647, 0.854, 0.000], [0.160, 0.213, 0.753], [0.840, 0.787, 0.247], [0.340, 0.960, 0.247], [0.853, 0.354, 0.000], [0.160, 0.460, 0.247], [0.000, 0.788, 0.576], [0.500, 0.288, 0.576], [0.660, 0.287, 0.247], [0.500, 0.500, 0.000], [0.000, 0.212, 0.424], [0.660, 0.040, 0.753], [0.840, 0.540, 0.753]]
}